{
  "formula": "Ag2HgBC",
  "functional": "PBE-GGA",
  "state": "relaxed",
  "cell": [[-0.8659, 0.2823, -5.1259], [2.7356, -0.8574, -0.5093], [-1.5587, -4.9673, -0.0102]],
  "species": ["C", "B", "Hg", "Ag", "Ag"],
  "fractional_positions": [[0.0000, 0.0000, 0.0000], [0.0000, 0.5000, 0.0000], [0.5000, 0.5000, 0.5000], [0.0000, 0.0000, 0.5000], [0.5000, 0.0000, 0.0000]]
}


{
  "formula": "B5C7",
  "functional": "PBE-GGA",
  "state": "relaxed",
  "cell": [[-1.9062, -4.6808, -3.5913], [-0.1288, -3.6488, -5.0111], [3.7672, -2.1248, 3.1717]],
  "species": ["B", "B", "B", "B", "B", "C", "C", "C", "C", "C", "C", "C"],
  "fractional_positions": [[0.9242, 0.9242, 0.2007], [0.2622, 0.2622, 0.3477], [0.9244, 0.9244, 0.6954], [0.6578, 0.6578, 0.3503], [0.3167, 0.3167, 0.6890], [0.0118, 0.0118, 0.0100], [0.3296, 0.3296, 0.1473], [0.0062, 0.0062, 0.5075], [0.5822, 0.5822, 0.5531], [0.2397, 0.2397, 0.8797], [0.6621, 0.6621, 0.8405], [0.5831, 0.5831, 0.0287]]
}


Number 1: DFT formation energy 10.84 kcal/mol of atoms. Number 2: DFT formation energy 8.71 kcal/mol of atoms.